Rb2ZrI8 | GGA-PBE | optimized geometry

Lattice parameters (Å, degrees): 15.538 12.733 6.462 90.00 103.44 90.00
Space group C2/m (No. 12)
One atom of each set of equivalent atoms:
Rb  0.221  0.000  0.103 [4 per cell]
Zr  0.000  0.500  0.000 [2 per cell]
I  0.003  0.000  0.256 [4 per cell]
I  0.074  0.338  0.788 [8 per cell]
I  0.162  0.500  0.329 [4 per cell]

Density   3.41 g/cm³
E_form (uncorrected)   -880 meV/atom

RbZrI3 | GGA-PBE | optimized geometry

Lattice parameters (Å, degrees): 6.456 6.456 6.456 90.00 90.00 90.00
Space group Pm-3m (No. 221)
One atom of each set of equivalent atoms:
Rb  0.000  0.000  0.000 [1 per cell]
Zr  0.500  0.500  0.500 [1 per cell]
I  0.000  0.000  0.500 [3 per cell]

Density   3.44 g/cm³
E_form (uncorrected)   402 meV/atom
E above lowest polymorph   6.15 eV per formula unit

Rb3ZrI7 | GGA-PBE | optimized geometry

Lattice parameters (Å, degrees): 12.452 11.509 9.343 90.00 126.15 90.00
Space group Cm (No. 8)
One atom of each set of equivalent atoms:
Rb  0.000  0.000  0.000 [2 per cell]
Rb  0.016  0.275  0.596 [4 per cell]
Zr  0.061  0.500  0.150 [2 per cell]
I  0.127  0.256  0.297 [4 per cell]
I  0.208  0.500  0.002 [2 per cell]
I  0.347  0.500  0.518 [2 per cell]
I  0.367  0.160  0.841 [4 per cell]
I  0.378  0.000  0.247 [2 per cell]

Density   3.80 g/cm³
E_form (uncorrected)   -1148 meV/atom

Rb2ZrI5 | GGA-PBE | optimized geometry

Lattice parameters (Å, degrees): 9.036 9.036 10.028 90.00 90.00 90.00
Space group I4mm (No. 107)
One atom of each set of equivalent atoms:
Rb  0.000  0.500  0.000 [4 per cell]
Zr  0.000  0.000  0.185 [2 per cell]
I  0.000  0.000  0.915 [2 per cell]
I  0.221  0.221  0.252 [8 per cell]

Density   3.64 g/cm³
E_form (uncorrected)   -1106 meV/atom

Re4I | GGA-PBE | optimized geometry

Lattice parameters (Å, degrees): 4.736 4.736 4.736 90.00 90.00 90.00
Space group Pm-3m (No. 221)
One atom of each set of equivalent atoms:
Re  0.000  0.000  0.000 [1 per cell]
Re  0.000  0.500  0.500 [3 per cell]
I  0.500  0.500  0.500 [1 per cell]

Density   13.63 g/cm³
E_form (uncorrected)   3323 meV/atom

ReRh2I | GGA-PBE | optimized geometry

Lattice parameters (Å, degrees): 6.481 6.481 6.481 90.00 90.00 90.00
Space group Fm-3m (No. 225)
One atom of each set of equivalent atoms:
Re  0.000  0.000  0.000 [4 per cell]
Rh  0.250  0.250  0.250 [8 per cell]
I  0.000  0.000  0.500 [4 per cell]

Density   12.66 g/cm³
E_form (uncorrected)   1035 meV/atom
E above lowest polymorph   0.86 eV per formula unit

ReRh2I | GGA-PBE | optimized geometry

Lattice parameters (Å, degrees): 6.234 6.234 9.894 90.00 90.00 90.00
Space group I-42d (No. 122)
One atom of each set of equivalent atoms:
Re  0.000  0.000  0.000 [4 per cell]
Rh  0.209  0.250  0.125 [8 per cell]
I  0.000  0.000  0.500 [4 per cell]

Density   8.96 g/cm³
E_form (uncorrected)   821 meV/atom
E above lowest polymorph   0.00 eV per formula unit

Re2RhI | GGA-PBE | optimized geometry

Lattice parameters (Å, degrees): 6.390 6.390 6.390 90.00 90.00 90.00
Space group Fm-3m (No. 225)
One atom of each set of equivalent atoms:
Re  0.250  0.250  0.250 [8 per cell]
Rh  0.000  0.000  0.000 [4 per cell]
I  0.000  0.000  0.500 [4 per cell]

Density   15.33 g/cm³
E_form (uncorrected)   1084 meV/atom
E above lowest polymorph   0.00 eV per formula unit

Which value of E_form (uncorrected) does entry 1 give? -880 meV/atom

Which value of density does entry 6 give? 12.66 g/cm³

Look up the density of the fourth one. 3.64 g/cm³